# 1
# Nd2ZrSe5 PBEsol optimized geometry
# Total magnetization = 0.00 μB/f.u.
# Symmetry = Pnma, No. 62
# VASP energy = -6.570 eV/atom
data_Nd2ZrSe5
_cell_length_a 7.618
_cell_length_b 8.271
_cell_length_c 11.955
_cell_angle_alpha 90.00
_cell_angle_beta 90.00
_cell_angle_gamma 90.00
_space_group_name_H-M_alt 'P 1'
_space_group_IT_number 1
_space_group_name_Hall 'P 1'
loop_
_atom_site_label
_atom_site_type_symbol
_atom_site_fract_x
_atom_site_fract_y
_atom_site_fract_z
Se1 Se 0.330 0.960 0.584
Se2 Se 0.670 0.040 0.416
Se3 Se 0.330 0.540 0.584
Se4 Se 0.170 0.960 0.084
Se5 Se 0.448 0.250 0.005
Se6 Se 0.842 0.250 0.185
Se7 Se 0.824 0.750 0.209
Se8 Se 0.676 0.750 0.709
Se9 Se 0.324 0.250 0.291
Se10 Se 0.052 0.250 0.505
Se11 Se 0.342 0.750 0.315
Se12 Se 0.158 0.750 0.815
Se13 Se 0.552 0.750 0.995
Se14 Se 0.176 0.250 0.791
Se15 Se 0.948 0.750 0.495
Se16 Se 0.658 0.250 0.685
Se17 Se 0.830 0.040 0.916
Se18 Se 0.170 0.540 0.084
Se19 Se 0.830 0.460 0.916
Se20 Se 0.670 0.460 0.416
Nd1 Nd 0.039 0.003 0.324
Nd2 Nd 0.039 0.497 0.324
Nd3 Nd 0.961 0.997 0.676
Nd4 Nd 0.539 0.997 0.176
Nd5 Nd 0.461 0.003 0.824
Nd6 Nd 0.539 0.503 0.176
Nd7 Nd 0.961 0.503 0.676
Nd8 Nd 0.461 0.497 0.824
Zr1 Zr 0.921 0.750 0.991
Zr2 Zr 0.579 0.750 0.491
Zr3 Zr 0.079 0.250 0.009
Zr4 Zr 0.421 0.250 0.509

---

# 2
# Nd4Si5 PBEsol optimized geometry
# N(E_F) = 5.34 states/eV/f.u.
# Total magnetization = 0.42 μB/f.u.
# Symmetry = Amm2, No. 38
# VASP energy = -6.218 eV/atom
data_Nd4Si5
_cell_length_a 3.913
_cell_length_b 4.260
_cell_length_c 12.509
_cell_angle_alpha 99.80
_cell_angle_beta 90.00
_cell_angle_gamma 90.00
_space_group_name_H-M_alt 'P 1'
_space_group_IT_number 1
_space_group_name_Hall 'P 1'
loop_
_atom_site_label
_atom_site_type_symbol
_atom_site_fract_x
_atom_site_fract_y
_atom_site_fract_z
Nd1 Nd 0.000 0.702 0.404
Nd2 Nd 0.500 0.571 0.141
Nd3 Nd 0.000 0.431 0.861
Nd4 Nd 0.500 0.299 0.597
Si1 Si 0.000 0.111 0.221
Si2 Si 0.500 0.888 0.775
Si3 Si 0.500 0.982 0.965
Si4 Si 0.000 0.829 0.659
Si5 Si 0.500 0.170 0.341

---

# 3
# Nd2Si3 PBEsol optimized geometry
# N(E_F) = 1.42 states/eV/f.u.
# Total magnetization = 0.00 μB/f.u.
# Symmetry = Imm2, No. 44
# VASP energy = -6.184 eV/atom
data_Nd2Si3
_cell_length_a 3.925
_cell_length_b 4.122
_cell_length_c 7.571
_cell_angle_alpha 105.79
_cell_angle_beta 105.02
_cell_angle_gamma 90.00
_space_group_name_H-M_alt 'P 1'
_space_group_IT_number 1
_space_group_name_Hall 'P 1'
loop_
_atom_site_label
_atom_site_type_symbol
_atom_site_fract_x
_atom_site_fract_y
_atom_site_fract_z
Si1 Si 0.202 0.202 0.404
Si2 Si 0.798 0.298 0.597
Si3 Si 0.036 0.036 0.071
Nd1 Nd 0.627 0.627 0.253
Nd2 Nd 0.373 0.873 0.746

---

# 4
# NdZn2Si2 PBEsol optimized geometry
# N(E_F) = 1.89 states/eV/f.u.
# Total magnetization = 0.00 μB/f.u.
# Symmetry = I4/mmm, No. 139
# VASP energy = -4.403 eV/atom
data_NdZn2Si2
_cell_length_a 4.055
_cell_length_b 4.055
_cell_length_c 6.062
_cell_angle_alpha 109.54
_cell_angle_beta 109.54
_cell_angle_gamma 90.00
_space_group_name_H-M_alt 'P 1'
_space_group_IT_number 1
_space_group_name_Hall 'P 1'
loop_
_atom_site_label
_atom_site_type_symbol
_atom_site_fract_x
_atom_site_fract_y
_atom_site_fract_z
Zn1 Zn 0.250 0.750 0.500
Zn2 Zn 0.750 0.250 0.500
Nd1 Nd 0.000 0.000 0.000
Si1 Si 0.388 0.388 0.777
Si2 Si 0.612 0.612 0.223

---

# 5
# Nd3Sm PBEsol optimized geometry
# Energy relative to the elements = 0.0060 eV per atom
# N(E_F) = 6.12 states/eV/f.u.
# Total magnetization = 0.00 μB/f.u.
# Symmetry = Pm-3m, No. 221
# Excess energy over the best structure of this formula in the dataset = 0 meV per atom
data_Nd3Sm
_cell_length_a 5.070
_cell_length_b 5.070
_cell_length_c 5.070
_cell_angle_alpha 90.00
_cell_angle_beta 90.00
_cell_angle_gamma 90.00
_space_group_name_H-M_alt 'P 1'
_space_group_IT_number 1
_space_group_name_Hall 'P 1'
loop_
_atom_site_label
_atom_site_type_symbol
_atom_site_fract_x
_atom_site_fract_y
_atom_site_fract_z
Nd1 Nd 0.500 0.000 0.500
Nd2 Nd 0.000 0.500 0.500
Nd3 Nd 0.500 0.500 0.000
Sm1 Sm 0.000 0.000 0.000

---

# 6
# Nd3Sm PBEsol optimized geometry
# Energy relative to the elements = 0.0292 eV per atom
# N(E_F) = 6.54 states/eV/f.u.
# Total magnetization = 0.00 μB/f.u.
# Symmetry = P6_3/mmc, No. 194
# Excess energy over the best structure of this formula in the dataset = 23 meV per atom
data_Nd3Sm
_cell_length_a 5.845
_cell_length_b 7.195
_cell_length_c 7.195
_cell_angle_alpha 120.00
_cell_angle_beta 90.00
_cell_angle_gamma 90.00
_space_group_name_H-M_alt 'P 1'
_space_group_IT_number 1
_space_group_name_Hall 'P 1'
loop_
_atom_site_label
_atom_site_type_symbol
_atom_site_fract_x
_atom_site_fract_y
_atom_site_fract_z
Sm1 Sm 0.250 0.667 0.333
Sm2 Sm 0.750 0.333 0.667
Nd1 Nd 0.250 0.667 0.833
Nd2 Nd 0.250 0.167 0.833
Nd3 Nd 0.750 0.833 0.167
Nd4 Nd 0.750 0.833 0.667
Nd5 Nd 0.750 0.333 0.167
Nd6 Nd 0.250 0.167 0.333

---

# 7
# NdSmTl2 PBEsol optimized geometry
# Energy relative to the elements = -0.4532 eV per atom
# N(E_F) = 3.32 states/eV/f.u.
# Total magnetization = 0.00 μB/f.u.
# Symmetry = Fm-3m, No. 225
data_NdSmTl2
_cell_length_a 5.390
_cell_length_b 5.390
_cell_length_c 5.390
_cell_angle_alpha 60.00
_cell_angle_beta 60.00
_cell_angle_gamma 60.00
_space_group_name_H-M_alt 'P 1'
_space_group_IT_number 1
_space_group_name_Hall 'P 1'
loop_
_atom_site_label
_atom_site_type_symbol
_atom_site_fract_x
_atom_site_fract_y
_atom_site_fract_z
Sm1 Sm 0.000 0.000 0.000
Nd1 Nd 0.500 0.500 0.500
Tl1 Tl 0.750 0.750 0.750
Tl2 Tl 0.250 0.250 0.250

---

# 8
# Nd2Sn3 PBEsol optimized geometry
# Energy relative to the elements = -0.7627 eV per atom
# N(E_F) = 2.34 states/eV/f.u.
# Total magnetization = 0.00 μB/f.u.
# Symmetry = P-1, No. 2
data_Nd2Sn3
_cell_length_a 6.355
_cell_length_b 8.338
_cell_length_c 11.057
_cell_angle_alpha 107.31
_cell_angle_beta 96.64
_cell_angle_gamma 100.10
_space_group_name_H-M_alt 'P 1'
_space_group_IT_number 1
_space_group_name_Hall 'P 1'
loop_
_atom_site_label
_atom_site_type_symbol
_atom_site_fract_x
_atom_site_fract_y
_atom_site_fract_z
Sn1 Sn 0.223 0.405 0.865
Sn2 Sn 0.361 0.165 0.499
Sn3 Sn 0.639 0.835 0.501
Sn4 Sn 0.046 0.355 0.379
Sn5 Sn 0.824 0.964 0.778
Sn6 Sn 0.438 0.172 0.051
Sn7 Sn 0.954 0.645 0.621
Sn8 Sn 0.679 0.397 0.860
Sn9 Sn 0.777 0.595 0.135
Sn10 Sn 0.176 0.036 0.222
Sn11 Sn 0.321 0.603 0.140
Sn12 Sn 0.562 0.828 0.949
Nd1 Nd 0.958 0.251 0.057
Nd2 Nd 0.333 0.031 0.744
Nd3 Nd 0.042 0.749 0.943
Nd4 Nd 0.444 0.569 0.663
Nd5 Nd 0.556 0.431 0.337
Nd6 Nd 0.878 0.244 0.615
Nd7 Nd 0.122 0.756 0.385
Nd8 Nd 0.667 0.969 0.256

---

# 9
# NdSn2 PBEsol optimized geometry
# Energy relative to the elements = -0.7027 eV per atom
# N(E_F) = 1.32 states/eV/f.u.
# Total magnetization = 0.00 μB/f.u.
# Symmetry = Cmmm, No. 65
data_NdSn2
_cell_length_a 4.438
_cell_length_b 4.531
_cell_length_c 8.232
_cell_angle_alpha 90.00
_cell_angle_beta 105.64
_cell_angle_gamma 90.00
_space_group_name_H-M_alt 'P 1'
_space_group_IT_number 1
_space_group_name_Hall 'P 1'
loop_
_atom_site_label
_atom_site_type_symbol
_atom_site_fract_x
_atom_site_fract_y
_atom_site_fract_z
Nd1 Nd 0.145 0.000 0.290
Nd2 Nd 0.855 0.000 0.710
Sn1 Sn 0.685 0.500 0.369
Sn2 Sn 0.500 0.000 0.000
Sn3 Sn 0.000 0.500 0.000
Sn4 Sn 0.315 0.500 0.631

---

# 10
# NdZnSn PBEsol optimized geometry
# Energy relative to the elements = -0.6244 eV per atom
# N(E_F) = 2.24 states/eV/f.u.
# Total magnetization = 0.00 μB/f.u.
# Symmetry = P6_3/mmc, No. 194
data_NdZnSn
_cell_length_a 4.475
_cell_length_b 4.475
_cell_length_c 8.202
_cell_angle_alpha 90.00
_cell_angle_beta 90.00
_cell_angle_gamma 120.00
_space_group_name_H-M_alt 'P 1'
_space_group_IT_number 1
_space_group_name_Hall 'P 1'
loop_
_atom_site_label
_atom_site_type_symbol
_atom_site_fract_x
_atom_site_fract_y
_atom_site_fract_z
Sn1 Sn 0.333 0.667 0.250
Sn2 Sn 0.667 0.333 0.750
Zn1 Zn 0.667 0.333 0.250
Zn2 Zn 0.333 0.667 0.750
Nd1 Nd 0.000 0.000 0.500
Nd2 Nd 0.000 0.000 0.000

---

# 11
# Nd2Zn5Sn PBEsol optimized geometry
# Energy relative to the elements = -0.4702 eV per atom
# N(E_F) = 3.59 states/eV/f.u.
# Total magnetization = 0.00 μB/f.u.
# Symmetry = Cmcm, No. 63
data_Nd2Zn5Sn
_cell_length_a 4.383
_cell_length_b 8.431
_cell_length_c 8.930
_cell_angle_alpha 90.00
_cell_angle_beta 90.00
_cell_angle_gamma 105.07
_space_group_name_H-M_alt 'P 1'
_space_group_IT_number 1
_space_group_name_Hall 'P 1'
loop_
_atom_site_label
_atom_site_type_symbol
_atom_site_fract_x
_atom_site_fract_y
_atom_site_fract_z
Sn1 Sn 0.445 0.890 0.250
Sn2 Sn 0.555 0.110 0.750
Zn1 Zn 0.343 0.686 0.017
Zn2 Zn 0.606 0.211 0.250
Zn3 Zn 0.814 0.629 0.609
Zn4 Zn 0.657 0.314 0.517
Zn5 Zn 0.186 0.371 0.391
Zn6 Zn 0.657 0.314 0.983
Zn7 Zn 0.814 0.629 0.891
Zn8 Zn 0.394 0.789 0.750
Zn9 Zn 0.343 0.686 0.483
Zn10 Zn 0.186 0.371 0.109
Nd1 Nd 0.795 0.589 0.250
Nd2 Nd 0.205 0.411 0.750
Nd3 Nd 0.000 0.000 0.500
Nd4 Nd 0.000 0.000 0.000

---

# 12
# Tb3Nd PBEsol optimized geometry
# Energy relative to the elements = 0.0120 eV per atom
# N(E_F) = 5.14 states/eV/f.u.
# Total magnetization = 0.00 μB/f.u.
# Symmetry = I4/mmm, No. 139
# Excess energy over the best structure of this formula in the dataset = 0 meV per atom
data_Tb3Nd
_cell_length_a 4.970
_cell_length_b 4.970
_cell_length_c 6.086
_cell_angle_alpha 114.10
_cell_angle_beta 114.10
_cell_angle_gamma 90.00
_space_group_name_H-M_alt 'P 1'
_space_group_IT_number 1
_space_group_name_Hall 'P 1'
loop_
_atom_site_label
_atom_site_type_symbol
_atom_site_fract_x
_atom_site_fract_y
_atom_site_fract_z
Tb1 Tb 0.750 0.250 0.500
Tb2 Tb 0.500 0.500 0.000
Tb3 Tb 0.250 0.750 0.500
Nd1 Nd 0.000 0.000 0.000